A plane-wave DFT calculation with GGA-PBE was carried out for a geometry-optimized NaSi3Bi structure.

Values from the calculation:
- polymorph energy (0 for the lowest one) (eV per atom) = 0.098
- symmetry = Pm-3m (221)
- E_form (uncorrected) (kJ/mol of formula units) = 637
- E (eV/atom) = -2.973

Unit cell a=5.0040 b=5.0040 c=5.0040 alpha=90.00 beta=90.00 gamma=90.00
Closest atoms and distances in Å follow each position.
Fractional coordinates of all 5 atoms:
Na 0.0000 0.0000 0.0000  6 Si 2.50
Bi 0.5000 0.5000 0.5000  12 Si 3.54
Si 0.0000 0.0000 0.5000  2 Na 2.50
Si 0.5000 0.0000 0.0000  2 Na 2.50
Si 0.0000 0.5000 0.0000  2 Na 2.50



A plane-wave DFT calculation with GGA-PBE was carried out for a geometry-optimized Na2Si2Bi structure.

Values from the calculation:
- polymorph energy (0 for the lowest one) (eV per atom) = 0.112
- symmetry = I4/mmm (139)
- E_form (uncorrected) (kJ/mol of formula units) = 96
- E (eV/atom) = -3.275

Unit cell a=4.4235 b=4.4235 c=7.0013 alpha=71.58 beta=71.58 gamma=90.00
Closest atoms and distances in Å follow each position.
Fractional coordinates of all 5 atoms:
Si 0.4109 0.4109 0.1782  1 Si 2.23
Si 0.5891 0.5891 0.8218  1 Si 2.23
Na 0.7500 0.2500 0.5000  4 Si 2.99, 4 Na 3.13
Na 0.2500 0.7500 0.5000  4 Si 2.99, 4 Na 3.13
Bi 0.0000 0.0000 0.0000  8 Si 3.32